Record 1
The following is a PBE calculation of TaTlAs2 after structural relaxation, from the Alexandria database.

The value obtained for the formation energy is 0.18 eV/atom. As for the polymorph energy (0 for the lowest one): 320.1 meV/atom.

Unit cell a=3.705 b=4.736 c=5.143 alpha=90.00 beta=110.96 gamma=90.00
Space group Pm (No. 6)
Symmetry-distinct sites (fractional):
Ta  0.000  0.000  0.000 [1 per cell]
Tl  0.604  0.500  0.213 [1 per cell]
As  0.295  0.000  0.589 [1 per cell]
As  0.884  0.500  0.767 [1 per cell]

***

Record 2
The following is a PBE calculation of ReOsRh after structural relaxation, from the Alexandria database.

The value obtained for the formation energy is -0.01 eV/atom. As for the polymorph energy (0 for the lowest one): 0.0 meV/atom.

Unit cell a=5.443 b=3.888 c=8.233 alpha=90.00 beta=90.00 gamma=90.00
Space group Pnma (No. 62)
Symmetry-distinct sites (fractional):
Re  0.119  0.250  0.083 [4 per cell]
Os  0.118  0.250  0.762 [4 per cell]
Rh  0.123  0.250  0.413 [4 per cell]

***

Record 3
The following is a PBE calculation of Pr2LuSn after structural relaxation, from the Alexandria database.

The value obtained for the formation energy is -0.26 eV/atom. As for the polymorph energy (0 for the lowest one): 155.3 meV/atom.

Unit cell a=7.844 b=7.844 c=7.844 alpha=90.00 beta=90.00 gamma=90.00
Space group Fm-3m (No. 225)
Symmetry-distinct sites (fractional):
Pr  0.250  0.250  0.250 [8 per cell]
Lu  0.000  0.000  0.000 [4 per cell]
Sn  0.000  0.000  0.500 [4 per cell]

***

Record 4
The following is a PBE calculation of TlS3I after structural relaxation, from the Alexandria database.

As for the polymorph energy (0 for the lowest one): 0.0 meV/atom.

Unit cell a=8.500 b=10.379 c=11.746 alpha=90.00 beta=132.61 gamma=90.00
Space group P2_1/c (No. 14)
Symmetry-distinct sites (fractional):
Tl  0.064  0.106  0.233 [4 per cell]
S  0.095  0.225  0.491 [4 per cell]
S  0.288  0.100  0.663 [4 per cell]
S  0.334  0.137  0.847 [4 per cell]
I  0.336  0.679  0.936 [4 per cell]

***

Respective raw total energy values: -22.8 -124.2 -76.4 -66.5 eV for the cell shown.